(A)
## As2PbS4 (PBE)

Data for a geometry-optimized As2PbS4 structure.

abc: 9.463 3.761 18.547
angles: 90.00 90.00 90.00
Positions (direct):
As  0.000  0.250  0.117
As  0.000  0.750  0.883
As  0.162  0.250  0.507
As  0.338  0.750  0.007
As  0.500  0.250  0.383
As  0.500  0.750  0.617
As  0.662  0.250  0.993
As  0.838  0.750  0.493
Pb  0.159  0.750  0.314
Pb  0.341  0.250  0.814
Pb  0.659  0.750  0.186
Pb  0.841  0.250  0.686
S  0.009  0.750  0.582
S  0.125  0.750  0.778
S  0.153  0.750  0.146
S  0.194  0.250  0.954
S  0.306  0.750  0.454
S  0.347  0.250  0.646
S  0.375  0.250  0.278
S  0.491  0.250  0.082
S  0.509  0.750  0.918
S  0.625  0.750  0.722
S  0.653  0.750  0.354
S  0.694  0.250  0.546
S  0.806  0.750  0.046
S  0.847  0.250  0.854
S  0.875  0.250  0.222
S  0.991  0.250  0.418

## Properties
**M_tot**: 0.000 μB/f.u.



(B)
## As2PbS4 (PBE)

Data for a geometry-optimized As2PbS4 structure.

abc: 7.550 7.559 8.650
angles: 112.32 103.34 107.45
Positions (direct):
As  0.000  0.000  0.000
As  0.016  0.515  0.500
As  0.460  0.421  0.386
As  0.981  0.443  0.887
Pb  0.462  0.051  0.779
Pb  0.742  0.832  0.278
S  0.206  0.097  0.292
S  0.211  0.602  0.793
S  0.295  0.649  0.438
S  0.451  0.411  0.120
S  0.726  0.186  0.622
S  0.773  0.117  0.069
S  0.803  0.659  0.937
S  0.968  0.810  0.568

## Properties
**DOS(E_F)**: 0.00 states/eV per cell
**M_tot**: 0.000 μB/f.u.



(C)
## As2PbS4 (PBE)

Data for a geometry-optimized As2PbS4 structure.

abc: 6.480 6.480 13.236
angles: 90.00 90.00 146.02
Positions (direct):
As  0.141  0.859  0.559
As  0.141  0.859  0.941
As  0.859  0.141  0.059
As  0.859  0.141  0.441
Pb  0.421  0.579  0.750
Pb  0.579  0.421  0.250
S  0.078  0.922  0.750
S  0.232  0.768  0.108
S  0.232  0.768  0.392
S  0.500  0.500  0.000
S  0.500  0.500  0.500
S  0.768  0.232  0.608
S  0.768  0.232  0.892
S  0.922  0.078  0.250

## Properties
**DOS(E_F)**: 0.11 states/eV per cell
**M_tot**: 0.000 μB/f.u.



Order from most stable to least stable according to the calculation: (A), (B), (C)



(A)
## AsPbS2 (PBE)

Data for a geometry-optimized AsPbS2 structure.

abc: 5.531 7.113 11.165
angles: 90.00 99.35 90.00
Positions (direct):
As  0.036  0.173  0.480
As  0.036  0.327  0.980
As  0.964  0.673  0.020
As  0.964  0.827  0.520
Pb  0.388  0.581  0.316
Pb  0.388  0.919  0.816
Pb  0.612  0.081  0.184
Pb  0.612  0.419  0.684
S  0.126  0.249  0.181
S  0.126  0.251  0.681
S  0.376  0.733  0.065
S  0.376  0.767  0.565
S  0.624  0.233  0.435
S  0.624  0.267  0.935
S  0.874  0.749  0.319
S  0.874  0.751  0.819

## Properties
**M_tot**: 0.000 μB/f.u.



(B)
## AsPbS2 (PBE)

Data for a geometry-optimized AsPbS2 structure.

abc: 8.273 8.273 8.273
angles: 139.84 139.84 58.10
Positions (direct):
As  0.000  0.000  0.000
As  0.750  0.250  0.500
Pb  0.250  0.750  0.500
Pb  0.500  0.500  0.000
S  0.066  0.625  0.941
S  0.375  0.316  0.441
S  0.684  0.125  0.059
S  0.875  0.934  0.559

## Properties
**DOS(E_F)**: 2.44 states/eV per cell
**M_tot**: 0.000 μB/f.u.



(C)
## AsPbS2 (PBE)

Data for a geometry-optimized AsPbS2 structure.

abc: 4.243 7.528 7.816
angles: 89.16 76.83 88.05
Positions (direct):
As  0.000  0.000  0.000
As  0.305  0.271  0.077
Pb  0.399  0.484  0.548
Pb  0.924  0.968  0.533
S  0.320  0.859  0.768
S  0.505  0.187  0.315
S  0.776  0.234  0.860
S  0.969  0.640  0.379

## Properties
**M_tot**: 0.000 μB/f.u.



(D)
## AsPbS2 (PBE)

Data for a geometry-optimized AsPbS2 structure.

abc: 4.901 4.901 4.901
angles: 60.00 60.00 60.00
Positions (direct):
As  0.000  0.000  0.000
Pb  0.500  0.500  0.500
S  0.250  0.250  0.250
S  0.750  0.750  0.750

## Properties
**DOS(E_F)**: 1.69 states/eV per cell
**M_tot**: 0.000 μB/f.u.



Order from most stable to least stable according to the calculation: (A), (C), (B), (D)



(A)
## As4Pb9S15 (PBE)

Data for a geometry-optimized As4Pb9S15 structure.

abc: 10.836 10.836 10.836
angles: 113.44 113.44 113.44
Positions (direct):
As  0.000  0.000  0.000
As  0.095  0.477  0.477
As  0.477  0.095  0.477
As  0.477  0.477  0.095
Pb  0.005  0.244  0.763
Pb  0.005  0.763  0.244
Pb  0.244  0.005  0.763
Pb  0.244  0.763  0.005
Pb  0.433  0.433  0.722
Pb  0.433  0.722  0.433
Pb  0.722  0.433  0.433
Pb  0.763  0.005  0.244
Pb  0.763  0.244  0.005
S  0.009  0.815  0.815
S  0.011  0.449  0.638
S  0.011  0.638  0.449
S  0.097  0.097  0.575
S  0.097  0.575  0.097
S  0.388  0.668  0.668
S  0.449  0.011  0.638
S  0.449  0.638  0.011
S  0.575  0.097  0.097
S  0.638  0.011  0.449
S  0.638  0.449  0.011
S  0.668  0.388  0.668
S  0.668  0.668  0.388
S  0.815  0.009  0.815
S  0.815  0.815  0.009

## Properties
**M_tot**: 0.000 μB/f.u.



(B)
## As4Pb9S15 (PBE)

Data for a geometry-optimized As4Pb9S15 structure.

abc: 10.780 10.780 10.780
angles: 114.30 114.30 114.30
Positions (direct):
As  0.000  0.000  0.000
As  0.209  0.645  0.645
As  0.645  0.209  0.645
As  0.645  0.645  0.209
Pb  0.073  0.277  0.808
Pb  0.073  0.808  0.277
Pb  0.277  0.073  0.808
Pb  0.277  0.808  0.073
Pb  0.451  0.451  0.716
Pb  0.451  0.716  0.451
Pb  0.716  0.451  0.451
Pb  0.808  0.073  0.277
Pb  0.808  0.277  0.073
S  0.011  0.465  0.657
S  0.011  0.657  0.465
S  0.127  0.127  0.573
S  0.127  0.573  0.127
S  0.164  0.421  0.421
S  0.421  0.164  0.421
S  0.421  0.421  0.164
S  0.465  0.011  0.657
S  0.465  0.657  0.011
S  0.573  0.127  0.127
S  0.657  0.011  0.465
S  0.657  0.465  0.011
S  0.732  0.925  0.925
S  0.925  0.732  0.925
S  0.925  0.925  0.732

## Properties
**DOS(E_F)**: 0.00 states/eV per cell
**M_tot**: 0.000 μB/f.u.



Order from most stable to least stable according to the calculation: (B), (A)



(A)
## AsPb2S4 (PBE)

Data for a geometry-optimized AsPb2S4 structure.

abc: 7.242 5.604 9.281
angles: 90.00 104.10 90.00
Positions (direct):
As  0.060  0.250  0.371
As  0.940  0.750  0.629
Pb  0.258  0.250  0.954
Pb  0.422  0.750  0.626
Pb  0.578  0.250  0.374
Pb  0.742  0.750  0.046
S  0.208  0.515  0.246
S  0.208  0.985  0.246
S  0.258  0.250  0.601
S  0.362  0.750  0.902
S  0.638  0.250  0.098
S  0.742  0.750  0.399
S  0.792  0.015  0.754
S  0.792  0.485  0.754

## Properties
**DOS(E_F)**: 3.65 states/eV per cell
**M_tot**: 0.077 μB/f.u.



(B)
## AsPb2S4 (PBE)

Data for a geometry-optimized AsPb2S4 structure.

abc: 6.926 6.665 8.320
angles: 90.00 107.09 90.00
Positions (direct):
As  0.221  0.250  0.299
As  0.779  0.750  0.701
Pb  0.257  0.750  0.082
Pb  0.258  0.750  0.554
Pb  0.742  0.250  0.446
Pb  0.743  0.250  0.918
S  0.012  0.520  0.239
S  0.012  0.980  0.239
S  0.414  0.250  0.125
S  0.426  0.250  0.593
S  0.574  0.750  0.407
S  0.586  0.750  0.875
S  0.988  0.020  0.761
S  0.988  0.480  0.761

## Properties
**DOS(E_F)**: 4.62 states/eV per cell
**M_tot**: 0.000 μB/f.u.



Order from most stable to least stable according to the calculation: (A), (B)



(A)
## As2Pb2S5 (PBE)

Data for a geometry-optimized As2Pb2S5 structure.

abc: 8.195 8.195 5.984
angles: 101.03 101.03 35.70
Positions (direct):
As  0.161  0.161  0.407
As  0.839  0.839  0.593
Pb  0.430  0.430  0.196
Pb  0.570  0.570  0.804
S  0.000  0.000  0.500
S  0.144  0.144  0.031
S  0.333  0.333  0.531
S  0.667  0.667  0.469
S  0.856  0.856  0.969

## Properties
**M_tot**: 0.000 μB/f.u.



(B)
## As2Pb2S5 (PBE)

Data for a geometry-optimized As2Pb2S5 structure.

abc: 3.924 8.252 8.776
angles: 106.63 101.04 90.47
Positions (direct):
As  0.093  0.097  0.360
As  0.907  0.903  0.640
Pb  0.084  0.541  0.246
Pb  0.916  0.459  0.754
S  0.288  0.148  0.636
S  0.308  0.705  0.641
S  0.500  0.500  0.000
S  0.692  0.295  0.359
S  0.712  0.852  0.364

## Properties
**M_tot**: 0.000 μB/f.u.



Order from most stable to least stable according to the calculation: (B), (A)



(A)
## SbAsPb2 (PBE)

Data for a geometry-optimized SbAsPb2 structure.

abc: 7.264 7.264 7.264
angles: 147.86 144.20 48.86
Positions (direct):
Sb  0.000  0.000  0.000
As  0.500  0.500  0.000
Pb  0.316  0.816  0.500
Pb  0.684  0.184  0.500

## Properties
**DOS(E_F)**: 2.00 states/eV per cell
**M_tot**: 0.000 μB/f.u.



(B)
## SbAsPb2 (PBE)

Data for a geometry-optimized SbAsPb2 structure.

abc: 3.411 3.411 10.448
angles: 90.00 90.00 112.20
Positions (direct):
Sb  0.000  0.000  0.000
As  0.500  0.500  0.806
Pb  0.000  0.000  0.559
Pb  0.500  0.500  0.283

## Properties
**DOS(E_F)**: 2.65 states/eV per cell
**M_tot**: 0.000 μB/f.u.



(C)
## SbAsPb2 (PBE)

Data for a geometry-optimized SbAsPb2 structure.

abc: 3.433 5.035 6.671
angles: 90.00 104.63 90.00
Positions (direct):
Sb  0.000  0.000  0.000
As  0.104  0.500  0.228
Pb  0.357  0.500  0.722
Pb  0.718  0.000  0.449

## Properties
**DOS(E_F)**: 1.21 states/eV per cell
**M_tot**: 0.000 μB/f.u.



(D)
## SbAsPb2 (PBE)

Data for a geometry-optimized SbAsPb2 structure.

abc: 5.382 5.382 5.382
angles: 60.00 60.00 60.00
Positions (direct):
Sb  0.000  0.000  0.000
As  0.500  0.500  0.500
Pb  0.250  0.250  0.250
Pb  0.750  0.750  0.750

## Properties
**DOS(E_F)**: 2.86 states/eV per cell
**M_tot**: 0.000 μB/f.u.



Order from most stable to least stable according to the calculation: (A), (C), (D), (B)